Entry 1:
A plane-wave DFT calculation with GGA-PBE was carried out for a geometry-optimized CuSiBr2 structure.

raw total energy: -2.9278 eV per atom
DOS at the Fermi energy: 2.06 states/eV per cell
uncorrected formation energy: 288.4 meV/atom
relative energy among the computed polymorphs: 386 meV per atom

Lattice parameters (Å, degrees): 3.5500 6.3977 8.1492 90.00 90.00 90.00
Space group Cmmm (No. 65)
Symmetry-distinct sites (fractional):
1 Cu 0.0000 0.0000 0.0000 x2
2 Si 0.0000 0.0000 0.5000 x2
3 Br 0.0000 0.5000 0.2164 x4

=====

Entry 2:
A plane-wave DFT calculation with GGA-PBE was carried out for a geometry-optimized HgGeTeF2 structure.

raw total energy: -3.5278 eV per atom
DOS at the Fermi energy: 1.34 states/eV per cell
uncorrected formation energy: -1167.1 meV/atom

Lattice parameters (Å, degrees): 4.2329 4.2329 5.9854 90.00 90.00 90.00
Space group P4/mmm (No. 123)
Symmetry-distinct sites (fractional):
1 Hg 0.0000 0.0000 0.0000 x1
2 Ge 0.5000 0.5000 0.5000 x1
3 Te 0.5000 0.5000 0.0000 x1
4 F 0.0000 0.5000 0.5000 x2